BeIrI | GGA-PBE | relaxed

Cell: 3.6684 10.1884 4.0536 Å, 101.12 63.10 100.08°
With the nearest neighbours (Å) after each atom.
Fractional positions:
I 0.5278 0.3786 0.7145  2 Ir 2.70
I 0.0566 0.9784 0.2401  2 Ir 2.70
Be 0.9321 0.6526 0.1730  3 Be 2.19-2.42, 3 Ir 2.26-2.39
Be 0.6532 0.7039 0.7798  3 Be 2.19-2.42, 3 Ir 2.26-2.39
Ir 0.3950 0.7947 0.3847  3 Be 2.26-2.39, 1 Ir 2.51
Ir 0.1902 0.5621 0.5681  3 Be 2.26-2.39, 1 Ir 2.51

Output
Formation energy (no corrections) (meV per atom): -88
Total magnetization (μB/atom): 0.000
Mass density (g/cm³): 8.262
Final energy (eV per cell): -28.80

=====

BeIrI | GGA-PBE | relaxed

Cell: 4.0843 11.2604 4.0854 Å, 73.95 57.14 64.17°
With the nearest neighbours (Å) after each atom.
Fractional positions:
I 0.9606 0.7740 0.5059  1 Be 2.51, 2 Ir 2.75
I 0.9352 0.3437 0.0270  1 Be 2.51, 2 Ir 2.75
Be 0.9699 0.9656 0.6991  4 Ir 2.20-2.37, 1 Be 2.23
Be 0.9259 0.1521 0.8340  4 Ir 2.20-2.37, 1 Be 2.23
Ir 0.6087 0.1550 0.5194  4 Be 2.20-2.37
Ir 0.2871 0.9628 0.0136  4 Be 2.20-2.37

Output
Formation energy (no corrections) (meV per atom): -82
Total magnetization (μB/atom): 0.000
Mass density (g/cm³): 7.682
Final energy (eV per cell): -28.77

=====

Among the records above, which one has the highest formation energy (no corrections)? number 2

=====

Among the records above, which one has the highest mass density? number 1